1.
Compound: PmPuSb2
Source: the Alexandria database
Functional: GGA-PBE
Structure: relaxed

Cell and atoms, written as CIF:
```
data_PmPuSb2
_symmetry_space_group_name_H-M 'R -3 m'
_symmetry_Int_Tables_number 166
_symmetry_space_group_name_Hall '-R 3 2"'
_cell_length_a 4.4623
_cell_length_b 4.4623
_cell_length_c 21.7958
_cell_angle_alpha 90.00
_cell_angle_beta 90.00
_cell_angle_gamma 120.00
loop_
_atom_site_label
_atom_site_fract_x
_atom_site_fract_y
_atom_site_fract_z
Pm1 0.0000 0.0000 0.0000
Pu1 0.0000 0.0000 0.5000
Sb1 0.0000 0.0000 0.2477
```

Output
Energy relative to the elements, uncorrected: -0.888 eV per atom
E above lowest polymorph: 0 meV/atom

---

2.
Compound: ZrV2Br
Source: the Alexandria database
Functional: GGA-PBE
Structure: relaxed

Cell and atoms, written as CIF:
```
data_ZrV2Br
_symmetry_space_group_name_H-M 'I -4 2 d'
_symmetry_Int_Tables_number 122
_symmetry_space_group_name_Hall 'I -4 2bw'
_cell_length_a 7.542
_cell_length_b 7.542
_cell_length_c 5.178
_cell_angle_alpha 90.00
_cell_angle_beta 90.00
_cell_angle_gamma 90.00
loop_
_atom_site_label
_atom_site_fract_x
_atom_site_fract_y
_atom_site_fract_z
Zr1 0.000 0.000 0.000
V1 0.184 0.250 0.625
Br1 0.000 0.000 0.500
```

Output
Energy relative to the elements, uncorrected: 0.640 eV per atom
E above lowest polymorph: 0 meV/atom

---

3.
Compound: CeErSc2As4
Source: the Alexandria database
Functional: GGA-PBE
Structure: relaxed

Cell and atoms, written as CIF:
```
data_CeErSc2As4
_symmetry_space_group_name_H-M 'P 1 2/m 1'
_symmetry_Int_Tables_number 10
_symmetry_space_group_name_Hall '-P 2y'
_cell_length_a 6.928
_cell_length_b 4.024
_cell_length_c 6.963
_cell_angle_alpha 90.00
_cell_angle_beta 109.50
_cell_angle_gamma 90.00
loop_
_atom_site_label
_atom_site_fract_x
_atom_site_fract_y
_atom_site_fract_z
Ce1 0.000 0.000 0.000
Er1 0.000 0.500 0.500
Sc1 0.500 0.000 0.500
Sc2 0.500 0.500 0.000
As1 0.264 0.000 0.753
As2 0.267 0.500 0.259
```

Output
Energy of formation: -1.412 eV/atom

---

4.
Compound: Cd3AsPd
Source: the Alexandria database
Functional: GGA-PBE
Structure: relaxed

Cell and atoms, written as CIF:
```
data_Cd3AsPd
_symmetry_space_group_name_H-M 'P m -3 m'
_symmetry_Int_Tables_number 221
_symmetry_space_group_name_Hall '-P 4 2 3'
_cell_length_a 5.108
_cell_length_b 5.108
_cell_length_c 5.108
_cell_angle_alpha 90.00
_cell_angle_beta 90.00
_cell_angle_gamma 90.00
loop_
_atom_site_label
_atom_site_fract_x
_atom_site_fract_y
_atom_site_fract_z
Cd1 0.000 0.000 0.500
As1 0.500 0.500 0.500
Pd1 0.000 0.000 0.000
```

Output
E above lowest polymorph: 0 meV/atom
Energy of formation: 0.320 eV/atom

---

5.
Compound: HfUZn4
Source: the Alexandria database
Functional: GGA-PBE
Structure: relaxed

Cell and atoms, written as CIF:
```
data_HfUZn4
_symmetry_space_group_name_H-M 'F -4 3 m'
_symmetry_Int_Tables_number 216
_symmetry_space_group_name_Hall 'F -4 2 3'
_cell_length_a 7.522
_cell_length_b 7.522
_cell_length_c 7.522
_cell_angle_alpha 90.00
_cell_angle_beta 90.00
_cell_angle_gamma 90.00
loop_
_atom_site_label
_atom_site_fract_x
_atom_site_fract_y
_atom_site_fract_z
Hf1 0.000 0.000 0.000
U1 0.250 0.250 0.250
Zn1 0.126 0.126 0.626
```

Output
Energy of formation: -0.007 eV/atom

---

6.
Compound: Na3HfPb2S6
Source: the Alexandria database
Functional: GGA-PBE
Structure: relaxed

Cell and atoms, written as CIF:
```
data_Na3HfPb2S6
_symmetry_space_group_name_H-M 'C 1 2/m 1'
_symmetry_Int_Tables_number 12
_symmetry_space_group_name_Hall '-C 2y'
_cell_length_a 6.990
_cell_length_b 12.114
_cell_length_c 7.059
_cell_angle_alpha 90.00
_cell_angle_beta 109.68
_cell_angle_gamma 90.00
loop_
_atom_site_label
_atom_site_fract_x
_atom_site_fract_y
_atom_site_fract_z
Na1 0.000 0.000 0.000
Na2 0.000 0.328 0.000
Hf1 0.000 0.500 0.500
Pb1 0.000 0.166 0.500
S1 0.222 0.500 0.274
S2 0.226 0.350 0.729
```

Output
Energy relative to the elements, uncorrected: -1.028 eV per atom

---

7.
Compound: Ta4Mn5Nb
Source: the Alexandria database
Functional: GGA-PBE
Structure: relaxed

Cell and atoms, written as CIF:
```
data_Ta4Mn5Nb
_symmetry_space_group_name_H-M 'P 4/m m m'
_symmetry_Int_Tables_number 123
_symmetry_space_group_name_Hall '-P 4 2'
_cell_length_a 3.063
_cell_length_b 3.063
_cell_length_c 15.320
_cell_angle_alpha 90.00
_cell_angle_beta 90.00
_cell_angle_gamma 90.00
loop_
_atom_site_label
_atom_site_fract_x
_atom_site_fract_y
_atom_site_fract_z
Ta1 0.000 0.000 0.100
Ta2 0.000 0.000 0.300
Mn1 0.500 0.500 0.000
Mn2 0.500 0.500 0.200
Mn3 0.500 0.500 0.399
Nb1 0.000 0.000 0.500
```

Output
Energy of formation: -0.221 eV/atom

---

8.
Compound: YThI2
Source: the Alexandria database
Functional: GGA-PBE
Structure: relaxed

Cell and atoms, written as CIF:
```
data_YThI2
_symmetry_space_group_name_H-M 'R -3 m'
_symmetry_Int_Tables_number 166
_symmetry_space_group_name_Hall '-R 3 2"'
_cell_length_a 3.7731
_cell_length_b 3.7731
_cell_length_c 32.8123
_cell_angle_alpha 90.00
_cell_angle_beta 90.00
_cell_angle_gamma 120.00
loop_
_atom_site_label
_atom_site_fract_x
_atom_site_fract_y
_atom_site_fract_z
Y1 0.0000 0.0000 0.0000
Th1 0.0000 0.0000 0.5000
I1 0.0000 0.0000 0.4010
```

Output
Energy relative to the elements, uncorrected: -0.537 eV per atom

---

9.
Compound: NaBeIN2
Source: the Alexandria database
Functional: GGA-PBE
Structure: relaxed

Cell and atoms, written as CIF:
```
data_NaBeIN2
_symmetry_space_group_name_H-M 'P 4/m m m'
_symmetry_Int_Tables_number 123
_symmetry_space_group_name_Hall '-P 4 2'
_cell_length_a 4.423
_cell_length_b 4.423
_cell_length_c 6.573
_cell_angle_alpha 90.00
_cell_angle_beta 90.00
_cell_angle_gamma 90.00
loop_
_atom_site_label
_atom_site_fract_x
_atom_site_fract_y
_atom_site_fract_z
Na1 0.000 0.000 0.000
Be1 0.500 0.500 0.500
I1 0.000 0.000 0.500
N1 0.000 0.500 0.000
```

Output
Energy relative to the elements, uncorrected: 2.086 eV per atom
E above lowest polymorph: 1139 meV/atom

---

10.
Compound: Tl2CdGeBr6
Source: the Alexandria database
Functional: GGA-PBE
Structure: relaxed

Cell and atoms, written as CIF:
```
data_Tl2CdGeBr6
_symmetry_space_group_name_H-M 'P 1'
_symmetry_Int_Tables_number 1
_symmetry_space_group_name_Hall 'P 1'
_cell_length_a 7.783
_cell_length_b 7.783
_cell_length_c 7.823
_cell_angle_alpha 90.09
_cell_angle_beta 119.74
_cell_angle_gamma 119.96
loop_
_atom_site_label
_atom_site_fract_x
_atom_site_fract_y
_atom_site_fract_z
Tl1 0.000 0.000 0.000
Tl2 0.007 0.504 0.510
Cd1 0.456 0.227 0.682
Ge1 0.456 0.727 0.183
Br1 0.357 0.396 0.903
Br2 0.365 0.465 0.407
Br3 0.506 0.043 0.406
Br4 0.507 0.961 0.903
Br5 0.942 0.900 0.406
Br6 0.943 0.546 0.905
```

Output
Energy relative to the elements, uncorrected: -0.745 eV per atom

---

11.
Compound: HfMnNbRu
Source: the Alexandria database
Functional: GGA-PBE
Structure: relaxed

Cell and atoms, written as CIF:
```
data_HfMnNbRu
_symmetry_space_group_name_H-M 'P 4 m m'
_symmetry_Int_Tables_number 99
_symmetry_space_group_name_Hall 'P 4 -2'
_cell_length_a 3.155
_cell_length_b 3.155
_cell_length_c 6.352
_cell_angle_alpha 90.00
_cell_angle_beta 90.00
_cell_angle_gamma 90.00
loop_
_atom_site_label
_atom_site_fract_x
_atom_site_fract_y
_atom_site_fract_z
Hf1 0.000 0.000 0.000
Mn1 0.500 0.500 0.746
Nb1 0.000 0.000 0.517
Ru1 0.500 0.500 0.262
```

Output
Energy of formation: -0.373 eV/atom

---

12.
Compound: Dy2MgCd6
Source: the Alexandria database
Functional: GGA-PBE
Structure: relaxed

Cell and atoms, written as CIF:
```
data_Dy2MgCd6
_symmetry_space_group_name_H-M 'P 6/m m m'
_symmetry_Int_Tables_number 191
_symmetry_space_group_name_Hall '-P 6 2'
_cell_length_a 8.6450
_cell_length_b 8.6450
_cell_length_c 3.3204
_cell_angle_alpha 90.00
_cell_angle_beta 90.00
_cell_angle_gamma 120.00
loop_
_atom_site_label
_atom_site_fract_x
_atom_site_fract_y
_atom_site_fract_z
Dy1 0.3333 0.6667 0.0000
Mg1 0.0000 0.0000 0.0000
Cd1 0.0000 0.3298 0.5000
```

Output
E above lowest polymorph: 0 meV/atom
Energy of formation: -0.232 eV/atom

---

13.
Compound: NaAsBr3
Source: the Alexandria database
Functional: GGA-PBE
Structure: relaxed

Cell and atoms, written as CIF:
```
data_NaAsBr3
_symmetry_space_group_name_H-M 'P 1 21/c 1'
_symmetry_Int_Tables_number 14
_symmetry_space_group_name_Hall '-P 2ybc'
_cell_length_a 5.172
_cell_length_b 8.123
_cell_length_c 17.448
_cell_angle_alpha 90.00
_cell_angle_beta 95.62
_cell_angle_gamma 90.00
loop_
_atom_site_label
_atom_site_fract_x
_atom_site_fract_y
_atom_site_fract_z
Na1 0.209 0.190 0.256
As1 0.172 0.597 0.032
Br1 0.141 0.211 0.929
Br2 0.245 0.721 0.911
Br3 0.289 0.536 0.236
```

Output
Energy relative to the elements, uncorrected: -0.788 eV per atom
E above lowest polymorph: 28 meV/atom

---

14.
Compound: NaLiMn2Hg
Source: the Alexandria database
Functional: GGA-PBE
Structure: relaxed

Cell and atoms, written as CIF:
```
data_NaLiMn2Hg
_symmetry_space_group_name_H-M 'P 4/m m m'
_symmetry_Int_Tables_number 123
_symmetry_space_group_name_Hall '-P 4 2'
_cell_length_a 5.153
_cell_length_b 5.153
_cell_length_c 5.263
_cell_angle_alpha 90.00
_cell_angle_beta 90.00
_cell_angle_gamma 90.00
loop_
_atom_site_label
_atom_site_fract_x
_atom_site_fract_y
_atom_site_fract_z
Na1 0.000 0.000 0.000
Li1 0.500 0.500 0.500
Mn1 0.000 0.500 0.000
Hg1 0.000 0.000 0.500
```

Output
Energy of formation: 1.173 eV/atom

---

15.
Compound: Cs3SO
Source: the Alexandria database
Functional: GGA-PBE
Structure: relaxed

Cell and atoms, written as CIF:
```
data_Cs3SO
_symmetry_space_group_name_H-M 'P m -3 m'
_symmetry_Int_Tables_number 221
_symmetry_space_group_name_Hall '-P 4 2 3'
_cell_length_a 5.745
_cell_length_b 5.745
_cell_length_c 5.745
_cell_angle_alpha 90.00
_cell_angle_beta 90.00
_cell_angle_gamma 90.00
loop_
_atom_site_label
_atom_site_fract_x
_atom_site_fract_y
_atom_site_fract_z
Cs1 0.000 0.000 0.500
S1 0.500 0.500 0.500
O1 0.000 0.000 0.000
```

Output
Energy relative to the elements, uncorrected: -0.816 eV per atom
E above lowest polymorph: 0 meV/atom

---

16.
Compound: BaP2Pd4Pb
Source: the Alexandria database
Functional: GGA-PBE
Structure: relaxed

Cell and atoms, written as CIF:
```
data_BaP2Pd4Pb
_symmetry_space_group_name_H-M 'P 4/m m m'
_symmetry_Int_Tables_number 123
_symmetry_space_group_name_Hall '-P 4 2'
_cell_length_a 4.105
_cell_length_b 4.105
_cell_length_c 10.225
_cell_angle_alpha 90.00
_cell_angle_beta 90.00
_cell_angle_gamma 90.00
loop_
_atom_site_label
_atom_site_fract_x
_atom_site_fract_y
_atom_site_fract_z
Ba1 0.000 0.000 0.000
P1 0.500 0.500 0.184
Pd1 0.000 0.500 0.299
Pb1 0.000 0.000 0.500
```

Output
Energy of formation: -0.571 eV/atom